Entry 1:
A plane-wave DFT calculation with PBE was carried out for TbEr6Ga3 after structural relaxation.

The structure belongs to space group Cmc2_1 (No. 36); the cell edges are 10.612, 12.681 and 8.147 Å and the angles 90.00°, 90.00° and 90.00°. The inequivalent atoms are Tb at (0.000, 0.165, 0.000), Er at (0.000, 0.276, 0.516), Er at (0.000, 0.464, 0.846), Er at (0.166, 0.066, 0.362), Er at (0.232, 0.322, 0.221), Ga at (0.000, 0.072, 0.665) and Ga at (0.200, 0.419, 0.560).

For the formation energy from the elements, the calculation gives -308 meV/atom. For the calculated volume, the calculation gives 1096 Å³ per cell.

---

Entry 2:
A plane-wave DFT calculation with PBE was carried out for V3TeAu after structural relaxation.

The structure belongs to space group Pm-3m (No. 221); the cell edges are 4.905, 4.905 and 4.905 Å and the angles 90.00°, 90.00° and 90.00°. The inequivalent atoms are V at (0.000, 0.000, 0.500), Te at (0.500, 0.500, 0.500) and Au at (0.000, 0.000, 0.000).

For the uncorrected formation energy, the calculation gives 1.108 eV/atom. For the calculated volume, the calculation gives 118 Å³ per cell. The relative energy among the computed polymorphs is 0 meV per atom.